(1)
Entry from Alexandria via LeMat-Bulk: crystalline Ba3Al2In2 at its relaxed geometry (PBE-GGA).

Values from the calculation:
SG: C2/m (12)
Energy in eV per cell: -20.85
Total magnetic moment in Bohr magnetons per cell: 0.00

Cell lengths 4.573, 7.018, 9.495 Å; angles 114.71, 90.00, 109.01 degrees
Element x y z (fractional)
Al (0.799, 0.598, 0.063)
Al (0.201, 0.402, 0.937)
Ba (0.500, 0.000, 0.000)
Ba (0.304, 0.607, 0.354)
Ba (0.696, 0.393, 0.646)
In (0.013, 0.026, 0.333)
In (0.987, 0.974, 0.667)

(2)
Entry from Alexandria via LeMat-Bulk: crystalline BaAlIn at its relaxed geometry (PBE-GGA).

Values from the calculation:
SG: Cmcm (63)
Energy in eV per cell: -36.10
Total magnetic moment in Bohr magnetons per cell: 0.00

Cell lengths 13.054, 6.388, 4.509 Å; angles 90.00, 90.00, 90.00 degrees
Element x y z (fractional)
Al (0.000, 0.000, 0.000)
Al (0.500, 0.000, 0.500)
Al (0.500, 0.500, 0.500)
Al (0.000, 0.500, 0.000)
Ba (0.804, 0.750, 0.500)
Ba (0.304, 0.750, 0.000)
Ba (0.696, 0.250, 0.000)
Ba (0.196, 0.250, 0.500)
In (0.585, 0.750, 0.000)
In (0.915, 0.250, 0.500)
In (0.085, 0.750, 0.500)
In (0.415, 0.250, 0.000)

(3)
Entry from Alexandria via LeMat-Bulk: crystalline BaAl3In at its relaxed geometry (PBE-GGA).

Values from the calculation:
SG: Pm-3m (221)
Energy in eV per cell: -14.01
Distance to the lowest polymorph of the same formula in meV/atom: 0
Total magnetic moment in Bohr magnetons per cell: 0.00

Cell lengths 5.398, 5.398, 5.398 Å; angles 90.00, 90.00, 90.00 degrees
Element x y z (fractional)
Al (0.500, 0.000, 0.000)
Al (0.000, 0.500, 0.000)
Al (0.000, 0.000, 0.500)
Ba (0.500, 0.500, 0.500)
In (0.000, 0.000, 0.000)